## Li4AlCdHg2 (PBE)

Data for an optimized crystal structure of Li4AlCdHg2.

Values from the calculation:
The total energy is -15.23 eV/cell.

Unit cell a=4.5893 b=4.5893 c=6.5430 alpha=90.00 beta=90.00 gamma=90.00
Closest atoms and distances in Å follow each position.
Atoms (fractional coordinates):
1 Li 0.0000 0.0000 0.0000  4 Hg 2.74, 4 Li 2.79
2 Li 0.0000 0.5000 0.2435  4 Li 2.79-2.84, 2 Al 2.79, 2 Cd 2.84, 1 Hg 3.09
3 Li 0.5000 0.0000 0.7565  2 Al 2.79, 4 Li 2.79-2.84, 2 Cd 2.84, 1 Hg 3.09
4 Li 0.5000 0.5000 0.5000  4 Li 2.84, 4 Hg 2.90
5 Al 0.5000 0.5000 0.0000  4 Hg 2.74, 4 Li 2.79
6 Cd 0.0000 0.0000 0.5000  4 Li 2.84, 4 Hg 2.90
7 Hg 0.0000 0.5000 0.7715  2 Al 2.74, 4 Li 2.74-2.90, 2 Cd 2.90
8 Hg 0.5000 0.0000 0.2285  4 Li 2.74-2.90, 2 Al 2.74, 2 Cd 2.90



## RbZrAu3S4 (PBE)

Data for an optimized crystal structure of RbZrAu3S4.

Values from the calculation:
The calculation puts the offset from the most stable computed form at 4.0 meV/atom. The value obtained for the total moment is 0.0 Bohr magnetons per cell.

Unit cell a=6.1381 b=7.6932 c=10.2764 alpha=90.00 beta=106.12 gamma=90.00
Closest atoms and distances in Å follow each position.
Atoms (fractional coordinates):
1 Rb 0.2179 0.2500 0.3765  3 S 3.40-3.80, 1 Au 3.70
2 Rb 0.7821 0.7500 0.6235  3 S 3.40-3.80, 1 Au 3.70
3 Zr 0.1313 0.2500 0.8011  4 S 2.43-2.52
4 Zr 0.8687 0.7500 0.1989  4 S 2.43-2.52
5 Au 0.2918 0.5589 0.0153  4 S 2.56-2.79, 1 Au 2.81
6 Au 0.2918 0.9411 0.0153  4 S 2.56-2.79, 1 Au 2.81
7 Au 0.4141 0.7500 0.2711  3 S 2.37-2.57
8 Au 0.5859 0.2500 0.7289  3 S 2.37-2.57
9 Au 0.7083 0.0589 0.9847  4 S 2.56-2.79, 1 Au 2.81
10 Au 0.7083 0.4411 0.9847  4 S 2.56-2.79, 1 Au 2.81
11 S 0.0639 0.2500 0.0318  1 Zr 2.52, 4 Au 2.56-2.79
12 S 0.1673 0.7500 0.4120  1 Au 2.37, 1 Zr 2.43
13 S 0.3499 0.5080 0.7718  1 Zr 2.46, 3 Au 2.57-2.69
14 S 0.3499 0.9920 0.7718  1 Zr 2.46, 3 Au 2.57-2.69
15 S 0.6501 0.0080 0.2282  1 Zr 2.46, 3 Au 2.57-2.69
16 S 0.6501 0.4920 0.2282  1 Zr 2.46, 3 Au 2.57-2.69
17 S 0.8327 0.2500 0.5880  1 Au 2.37, 1 Zr 2.43
18 S 0.9361 0.7500 0.9682  1 Zr 2.52, 4 Au 2.56-2.79



## TbPbAuSe3 (PBE)

Data for an optimized crystal structure of TbPbAuSe3.

Values from the calculation:
The calculation puts the offset from the most stable computed form at 5.5 meV/atom. The value obtained for the total moment is 0.0 Bohr magnetons per cell.

Unit cell a=7.2648 b=7.2648 c=10.6367 alpha=90.00 beta=90.00 gamma=147.43
Closest atoms and distances in Å follow each position.
Atoms (fractional coordinates):
1 Tb 0.0000 0.0000 0.0000  6 Se 2.92-2.94
2 Tb 0.0000 0.0000 0.5000  6 Se 2.92-2.94
3 Pb 0.2347 0.7653 0.7500  6 Se 3.18-3.20, 2 Au 3.43
4 Pb 0.7653 0.2347 0.2500  6 Se 3.18-3.20, 2 Au 3.43
5 Au 0.4634 0.5366 0.2500  4 Se 2.61-2.70
6 Au 0.5366 0.4634 0.7500  4 Se 2.61-2.70
7 Se 0.0904 0.9096 0.2500  2 Au 2.70, 2 Tb 2.94
8 Se 0.3545 0.6455 0.0502  1 Au 2.61, 2 Tb 2.92
9 Se 0.3545 0.6455 0.4498  1 Au 2.61, 2 Tb 2.92
10 Se 0.6455 0.3545 0.5502  1 Au 2.61, 2 Tb 2.92
11 Se 0.6455 0.3545 0.9498  1 Au 2.61, 2 Tb 2.92
12 Se 0.9096 0.0904 0.7500  2 Au 2.70, 2 Tb 2.94



## Al2SbAu2 (PBE)

Data for an optimized crystal structure of Al2SbAu2.

Values from the calculation:
The total energy is -37.08 eV/cell.

Unit cell a=4.1752 b=4.1752 c=11.5518 alpha=90.00 beta=90.00 gamma=90.00
Closest atoms and distances in Å follow each position.
Atoms (fractional coordinates):
1 Al 0.0000 0.0000 0.1108  1 Al 2.56, 4 Au 2.63
2 Al 0.0000 0.0000 0.8892  1 Al 2.56, 4 Au 2.63
3 Al 0.5000 0.5000 0.3892  1 Al 2.56, 4 Au 2.63
4 Al 0.5000 0.5000 0.6108  1 Al 2.56, 4 Au 2.63
5 Sb 0.0000 0.0000 0.5000  8 Al 3.22, 8 Au 3.56
6 Sb 0.5000 0.5000 0.0000  8 Al 3.22, 8 Au 3.56
7 Au 0.0000 0.5000 0.2500  4 Al 2.63
8 Au 0.0000 0.5000 0.7500  4 Al 2.63
9 Au 0.5000 0.0000 0.2500  4 Al 2.63
10 Au 0.5000 0.0000 0.7500  4 Al 2.63



## LaUTe (PBE)

Data for an optimized crystal structure of LaUTe.

Values from the calculation:
The calculation puts the offset from the most stable computed form at 0.0 meV/atom. The value obtained for the total moment is 18.0 Bohr magnetons per cell.

Unit cell a=7.3933 b=7.3933 c=7.3933 alpha=90.00 beta=90.00 gamma=90.00
Closest atoms and distances in Å follow each position.
Atoms (fractional coordinates):
1 La 0.0000 0.0000 0.0000  4 Te 3.20
2 La 0.0000 0.5000 0.5000  4 Te 3.20
3 La 0.5000 0.0000 0.5000  4 Te 3.20
4 La 0.5000 0.5000 0.0000  4 Te 3.20
5 U 0.0000 0.0000 0.5000  4 Te 3.20
6 U 0.0000 0.5000 0.0000  4 Te 3.20
7 U 0.5000 0.0000 0.0000  4 Te 3.20
8 U 0.5000 0.5000 0.5000  4 Te 3.20
9 Te 0.2500 0.2500 0.2500  4 La 3.20, 4 U 3.20
10 Te 0.2500 0.7500 0.7500  4 La 3.20, 4 U 3.20
11 Te 0.7500 0.2500 0.7500  4 La 3.20, 4 U 3.20
12 Te 0.7500 0.7500 0.2500  4 La 3.20, 4 U 3.20



## SmDy2Al7Ag2 (PBE)

Data for an optimized crystal structure of SmDy2Al7Ag2.

Values from the calculation:
The total energy is -51.42 eV/cell. The value obtained for the total moment is 0.0 Bohr magnetons per cell.

Unit cell a=9.3743 b=9.3743 c=9.3743 alpha=34.54 beta=34.54 gamma=34.54
Closest atoms and distances in Å follow each position.
Atoms (fractional coordinates):
1 Sm 0.0000 0.0000 0.0000  6 Ag 3.21, 12 Al 3.56
2 Dy 0.1422 0.1422 0.1422  12 Al 3.18-3.28, 3 Dy 3.46
3 Dy 0.8578 0.8578 0.8578  12 Al 3.18-3.28, 3 Dy 3.46
4 Al 0.0758 0.5880 0.5880  2 Ag 2.71-2.77, 5 Al 2.72-2.85
5 Al 0.4120 0.4120 0.9242  2 Ag 2.71-2.77, 5 Al 2.72-2.85
6 Al 0.4120 0.9242 0.4120  2 Ag 2.71-2.77, 5 Al 2.72-2.85
7 Al 0.5000 0.5000 0.5000  6 Al 2.74
8 Al 0.5880 0.0758 0.5880  2 Ag 2.71-2.77, 5 Al 2.72-2.85
9 Al 0.5880 0.5880 0.0758  2 Ag 2.71-2.77, 5 Al 2.72-2.85
10 Al 0.9242 0.4120 0.4120  2 Ag 2.71-2.77, 5 Al 2.72-2.85
11 Ag 0.3357 0.3357 0.3357  6 Al 2.71-2.77
12 Ag 0.6643 0.6643 0.6643  6 Al 2.71-2.77



## PrGd2Ga3AgPt2 (PBE)

Data for an optimized crystal structure of PrGd2Ga3AgPt2.

Values from the calculation:
The total energy is -45.75 eV/cell. The value obtained for the total moment is 0.0 Bohr magnetons per cell.

Unit cell a=3.8861 b=7.5403 c=7.5403 alpha=120.34 beta=90.00 gamma=90.00
Closest atoms and distances in Å follow each position.
Atoms (fractional coordinates):
1 Pr 0.0000 0.0000 0.0000  4 Pt 3.04, 1 Ag 3.11, 6 Ga 3.13-3.36
2 Gd 0.0000 0.4097 0.8204  4 Pt 2.97, 1 Ag 3.08, 4 Ga 3.11-3.31
3 Gd 0.0000 0.8204 0.4097  4 Pt 2.97, 1 Ag 3.08, 4 Ga 3.11-3.31
4 Ga 0.5000 0.1451 0.4138  2 Pt 2.73-2.82, 2 Ag 2.81
5 Ga 0.5000 0.4138 0.1451  2 Pt 2.73-2.82, 2 Ag 2.81
6 Ga 0.5000 0.6727 0.6727  2 Ag 2.74, 2 Pt 2.85
7 Ag 0.0000 0.4146 0.4146  6 Ga 2.74-2.81
8 Pt 0.5000 0.0796 0.7380  3 Ga 2.73-2.85, 4 Gd 2.97, 2 Pr 3.04
9 Pt 0.5000 0.7380 0.0796  3 Ga 2.73-2.85, 4 Gd 2.97, 2 Pr 3.04



## Na2CuAgSn4 (PBE)

Data for an optimized crystal structure of Na2CuAgSn4.

Values from the calculation:
The total energy is -26.18 eV/cell.

Unit cell a=4.5225 b=7.6790 c=6.0592 alpha=90.00 beta=111.78 gamma=90.00
Closest atoms and distances in Å follow each position.
Atoms (fractional coordinates):
1 Na 0.0000 0.0000 0.0000  3 Cu 3.10-3.40, 4 Sn 3.27-3.28
2 Na 0.1378 0.5000 0.2711  3 Ag 3.10-3.39, 4 Sn 3.35
3 Cu 0.2778 0.0000 0.5505  6 Sn 2.79-2.82, 1 Na 3.10
4 Ag 0.8599 0.5000 0.7203  6 Sn 2.88-2.91, 1 Na 3.10
5 Sn 0.4259 0.2891 0.8522  1 Cu 2.79, 2 Ag 2.88
6 Sn 0.4259 0.7109 0.8522  1 Cu 2.79, 2 Ag 2.88
7 Sn 0.7089 0.1952 0.4129  2 Cu 2.82, 1 Ag 2.91, 1 Sn 3.00
8 Sn 0.7089 0.8048 0.4129  2 Cu 2.82, 1 Ag 2.91, 1 Sn 3.00